1.
Density functional theory data (PBE) for GdGaAsO after structural relaxation.

abc: 4.3311 4.3311 9.5319
angles: 90.00 90.00 90.00
Fractional coordinates of all 8 atoms:
As  0.5000  0.0000  0.3083
As  0.0000  0.5000  0.6917
Ga  0.5000  0.0000  0.0482
Ga  0.0000  0.5000  0.9518
Gd  0.0000  0.0000  0.5000
Gd  0.5000  0.5000  0.5000
O  0.0000  0.0000  0.0000
O  0.5000  0.5000  0.0000

Computed properties:
The calculation puts the total energy at -4.961 eV/atom. As for the crystal system: tetragonal.

=====

2.
Density functional theory data (PBE) for GdGaAsO after structural relaxation.

abc: 4.0896 4.0896 9.0814
angles: 90.00 90.00 90.00
Fractional coordinates of all 8 atoms:
As  0.0000  0.5000  0.3157
As  0.5000  0.0000  0.6843
Ga  0.0000  0.0000  0.5000
Ga  0.5000  0.5000  0.5000
Gd  0.5000  0.0000  0.1152
Gd  0.0000  0.5000  0.8848
O  0.0000  0.0000  0.0000
O  0.5000  0.5000  0.0000

Computed properties:
The calculation puts the total energy at -5.936 eV/atom. As for the crystal system: tetragonal.

=====

3.
Density functional theory data (PBE) for GdGaAsO after structural relaxation.

abc: 4.5293 4.8899 6.4648
angles: 90.00 90.00 90.00
Fractional coordinates of all 8 atoms:
As  0.0000  0.3625  0.2902
As  0.0000  0.6375  0.7902
Ga  0.0000  0.8569  0.4357
Ga  0.0000  0.1431  0.9357
Gd  0.5000  0.7182  0.1004
Gd  0.5000  0.2818  0.6004
O  0.5000  0.8782  0.4277
O  0.5000  0.1218  0.9277

Computed properties:
The calculation puts the total energy at -5.750 eV/atom. As for the crystal system: orthorhombic.

=====

4.
Density functional theory data (PBE) for HfGaAs2 after structural relaxation.

abc: 4.7741 4.7741 4.7741
angles: 60.00 60.00 60.00
Fractional coordinates of all 4 atoms:
As  0.0000  0.0000  0.0000
As  0.7500  0.7500  0.7500
Ga  0.5000  0.5000  0.5000
Hf  0.2500  0.2500  0.2500

Computed properties:
The calculation puts the total energy at -5.468 eV/atom. As for the crystal system: cubic.

=====

5.
Density functional theory data (PBE) for HfGa4As2 after structural relaxation.

abc: 7.6782 7.6782 7.6782
angles: 140.29 140.29 57.41
Fractional coordinates of all 7 atoms:
As  0.3867  0.3867  0.0000
As  0.6133  0.6133  0.0000
Ga  0.2027  0.2027  0.0000
Ga  0.7973  0.7973  0.0000
Ga  0.5000  0.0000  0.5000
Ga  0.0000  0.5000  0.5000
Hf  0.0000  0.0000  0.0000

Computed properties:
The calculation puts the total energy at -4.082 eV/atom. As for the crystal system: tetragonal.

=====

6.
Density functional theory data (PBE) for Hf6Ga2As after structural relaxation.

abc: 7.4468 7.4468 3.7021
angles: 90.00 90.00 120.00
Fractional coordinates of all 9 atoms:
As  0.0000  0.0000  0.0000
Ga  0.6667  0.3333  0.5000
Ga  0.3333  0.6667  0.5000
Hf  0.3985  0.0000  0.0000
Hf  0.0000  0.3985  0.0000
Hf  0.6015  0.6015  0.0000
Hf  0.7379  0.0000  0.5000
Hf  0.2621  0.2621  0.5000
Hf  0.0000  0.7379  0.5000

Computed properties:
The calculation puts the total energy at -8.372 eV/atom. As for the crystal system: hexagonal.

=====

Copy entry 2 word for word.
Density functional theory data (PBE) for GdGaAsO after structural relaxation.

abc: 4.0896 4.0896 9.0814
angles: 90.00 90.00 90.00
Fractional coordinates of all 8 atoms:
As  0.0000  0.5000  0.3157
As  0.5000  0.0000  0.6843
Ga  0.0000  0.0000  0.5000
Ga  0.5000  0.5000  0.5000
Gd  0.5000  0.0000  0.1152
Gd  0.0000  0.5000  0.8848
O  0.0000  0.0000  0.0000
O  0.5000  0.5000  0.0000

Computed properties:
The calculation puts the total energy at -5.936 eV/atom. As for the crystal system: tetragonal.